[1]
Density functional theory data (SCAN) for SbOs2Ru at its PBEsol-relaxed geometry.

E_tot (eV per atom): -53.509
E_form (uncorrected) (eV/atom): 0.452

abc: 2.8407 4.0162 5.5924
angles: 90.00 104.79 90.00
Closest atoms and distances in Å follow each position.
Space group Pm (No. 6)
One atom of each set of equivalent atoms:
Sb 0.0000 0.0000 0.0000 x1  3 Os 2.63, 4 Ru 2.69, 2 Sb 2.84
Os 0.1552 0.5000 0.3148 x1  1 Ru 2.61, 2 Sb 2.63, 6 Os 2.68-2.84
Os 0.7548 0.0000 0.5139 x1  1 Sb 2.63, 6 Os 2.68-2.84, 4 Ru 2.90
Ru 0.3972 0.5000 0.7977 x1  5 Os 2.61-2.90, 4 Sb 2.69, 2 Ru 2.84



[2]
Density functional theory data (SCAN) for SbOs2Ru at its PBEsol-relaxed geometry.

E_tot (eV per atom): -52.876
E_form (uncorrected) (eV/atom): 1.086

abc: 2.8133 4.8582 9.4580
angles: 90.00 90.00 90.00
Closest atoms and distances in Å follow each position.
Space group Cmmm (No. 65)
One atom of each set of equivalent atoms:
Sb 0.0000 0.0000 0.0000 x2  6 Sb 2.81, 4 Os 2.92
Os 0.0000 0.5000 0.2711 x4  2 Ru 2.58, 6 Os 2.81
Ru 0.0000 0.0000 0.5000 x2  4 Os 2.58, 6 Ru 2.81



[3]
Density functional theory data (SCAN) for SbOs2Ru at its PBEsol-relaxed geometry.

E_tot (eV per atom): -53.515
E_form (uncorrected) (eV/atom): 0.447

abc: 9.0329 2.8817 4.7538
angles: 90.00 99.18 90.00
Closest atoms and distances in Å follow each position.
Space group Cm (No. 8)
One atom of each set of equivalent atoms:
Sb 0.0000 0.0000 0.0000 x2  3 Ru 2.64-2.80, 7 Os 2.77-2.94, 2 Sb 2.88
Os 0.2376 0.0000 0.6979 x2  4 Ru 2.64-2.93, 5 Os 2.65-2.88, 3 Sb 2.77-2.94
Os 0.4971 0.0000 0.5000 x2  5 Os 2.65-2.88, 3 Ru 2.74-2.81, 4 Sb 2.78
Ru 0.2552 0.5000 0.2380 x2  3 Sb 2.64-2.80, 7 Os 2.64-2.93, 2 Ru 2.88



[4]
Density functional theory data (SCAN) for SbOs2Ru at its PBEsol-relaxed geometry.

E_tot (eV per atom): -53.350
E_form (uncorrected) (eV/atom): 0.612

abc: 2.9969 4.4456 9.2370
angles: 90.00 90.00 90.00
Closest atoms and distances in Å follow each position.
Space group Immm (No. 71)
One atom of each set of equivalent atoms:
Sb 0.0000 0.0000 0.0000 x2  4 Os 2.57, 4 Ru 2.68
Os 0.0000 0.5000 0.2738 x4  2 Sb 2.57, 4 Os 2.72
Ru 0.0000 0.0000 0.5000 x2  4 Sb 2.68, 4 Os 2.94, 2 Ru 3.00



[5]
Density functional theory data (SCAN) for SbOsRu3 at its PBEsol-relaxed geometry.

E_tot (eV per atom): -41.149
E_form (uncorrected) (eV/atom): 1.575

abc: 4.6361 4.6361 4.6361
angles: 90.00 90.00 90.00
Closest atoms and distances in Å follow each position.
Space group Pm-3m (No. 221)
One atom of each set of equivalent atoms:
Sb 0.0000 0.0000 0.0000 x1  12 Ru 3.28
Os 0.5000 0.5000 0.5000 x1  6 Ru 2.32
Ru 0.0000 0.5000 0.5000 x3  2 Os 2.32



[6]
Density functional theory data (SCAN) for SbTe2OsRu at its PBEsol-relaxed geometry.

E_tot (eV per atom): -42.214
E_form (uncorrected) (eV/atom): 1.480

abc: 4.9667 4.9667 4.8880
angles: 90.00 90.00 90.00
Closest atoms and distances in Å follow each position.
Space group P4/mmm (No. 123)
One atom of each set of equivalent atoms:
Sb 0.0000 0.0000 0.0000 x1  2 Ru 2.44
Te 0.0000 0.5000 0.5000 x2  2 Ru 2.48
Os 0.5000 0.5000 0.0000 x1  8 Te 3.48, 4 Sb 3.51
Ru 0.0000 0.0000 0.5000 x1  2 Sb 2.44, 4 Te 2.48



| no. | spin magnetization (μB per cell) |
| --- | --- |
| 1 | 0.00 |
| 2 | 0.01 |
| 3 | 0.00 |
| 4 | 0.00 |
| 5 | 0.00 |
| 6 | 0.00 |